1 | A geometry-optimized Tm5Zn structure. Source: the Alexandria database, functional GGA-PBE.

Cell: 5.8382 5.8413 5.8941 Å, 60.30 99.53 109.51°
Closest atoms and distances in Å follow each position.
Fractional positions:
Tm (0.0000, 0.3074, 0.3851)  9 Tm 3.37-3.41, 3 Zn 3.37-3.43
Tm (0.5000, 0.4722, 0.0557)  10 Tm 3.36-3.46, 2 Zn 3.37
Tm (0.5000, 0.8097, 0.3806)  10 Tm 3.33-3.46, 2 Zn 3.36
Tm (0.0000, 0.6371, 0.7259)  9 Tm 3.37-3.41, 3 Zn 3.37-3.43
Tm (0.5000, 0.1346, 0.7308)  10 Tm 3.33-3.46, 2 Zn 3.36
Zn (0.0000, 0.9724, 0.0552)  12 Tm 3.36-3.43

Properties
- SG = C2/m
- N(E_F) (states/eV/cell) = 9.133

***

2 | A geometry-optimized Tm5Zn structure. Source: the Alexandria database, functional GGA-PBE.

Cell: 4.7271 4.7272 7.6626 Å, 107.97 90.00 90.00°
Closest atoms and distances in Å follow each position.
Fractional positions:
Tm (0.0000, 0.3390, 0.6781)  10 Tm 3.33-3.51, 2 Zn 3.33
Tm (0.5000, 0.5000, 0.0000)  8 Tm 3.33-3.39, 4 Zn 3.34
Zn (0.0000, 0.0000, 0.0000)  12 Tm 3.33-3.39
Tm (0.0000, 0.6610, 0.3219)  10 Tm 3.33-3.51, 2 Zn 3.33
Tm (0.5000, 0.8336, 0.6671)  10 Tm 3.34-3.45, 2 Zn 3.39
Tm (0.5000, 0.1664, 0.3329)  10 Tm 3.34-3.45, 2 Zn 3.39

Properties
- SG = Cmmm
- N(E_F) (states/eV/cell) = 6.885

***

It comes down to 2, which is 0.050 eV/atom more stable than the next structure.